# 1
# CdNiP2, optimized geometry, DFT PBE-GGA
data_CdNiP2
_chemical_formula_sum 'Cd1 Ni1 P2'
_cell_length_a 3.052
_cell_length_b 3.052
_cell_length_c 7.097
_cell_angle_alpha 90.00
_cell_angle_beta 90.00
_cell_angle_gamma 90.00
_space_group_name_H-M_alt 'P 4 m m'
_space_group_IT_number 99
loop_
_space_group_symop_operation_xyz
'x,y,z'
'-y,x,z'
'-x,-y,z'
'y,-x,z'
'-x,y,z'
'y,x,z'
'x,-y,z'
'-y,-x,z'
loop_
_atom_site_label
_atom_site_fract_x
_atom_site_fract_y
_atom_site_fract_z
Cd1 0.000 0.000 0.000
Ni1 0.500 0.500 0.265
P1 0.000 0.000 0.424
P2 0.500 0.500 0.589
# DOS at the Fermi energy ... 0.467 states/eV/atom
# DFT total energy ... -16.8 eV/cell

---

# 2
# KZr2Ru, optimized geometry, DFT PBE-GGA
data_KZr2Ru
_chemical_formula_sum 'K4 Zr8 Ru4'
_cell_length_a 6.423
_cell_length_b 6.423
_cell_length_c 15.047
_cell_angle_alpha 90.00
_cell_angle_beta 90.00
_cell_angle_gamma 90.00
_space_group_name_H-M_alt 'I 41/a m d'
_space_group_IT_number 141
loop_
_space_group_symop_operation_xyz
'x,y,z'
'-x,-y,-z'
'-y+1/4,x+3/4,z+1/4'
'y+1/4,-x+3/4,-z+1/4'
'-x+1/2,-y,z+1/2'
'x+1/2,y,-z+1/2'
'y+1/4,-x+1/4,z+3/4'
'-y+1/4,x+1/4,-z+3/4'
'x,-y,-z'
'-x,y,z'
'-y+1/4,-x+1/4,-z+3/4'
'y+1/4,x+1/4,z+3/4'
'-x+1/2,y,-z+1/2'
'x+1/2,-y,z+1/2'
'y+1/4,x+3/4,-z+1/4'
'-y+1/4,-x+3/4,z+1/4'
'x+1/2,y+1/2,z+1/2'
'-x+1/2,-y+1/2,-z+1/2'
'-y+3/4,x+1/4,z+3/4'
'y+3/4,-x+1/4,-z+3/4'
'-x,-y+1/2,z'
'x,y+1/2,-z'
'y+3/4,-x+3/4,z+1/4'
'-y+3/4,x+3/4,-z+1/4'
'x+1/2,-y+1/2,-z+1/2'
'-x+1/2,y+1/2,z+1/2'
'-y+3/4,-x+3/4,-z+1/4'
'y+3/4,x+3/4,z+1/4'
'-x,y+1/2,-z'
'x,-y+1/2,z'
'y+3/4,x+1/4,-z+3/4'
'-y+3/4,-x+1/4,z+3/4'
loop_
_atom_site_label
_atom_site_fract_x
_atom_site_fract_y
_atom_site_fract_z
K1 0.000 0.250 0.375
Zr1 0.000 0.000 0.000
Ru1 0.000 0.250 0.875
# DOS at the Fermi energy ... 1.585 states/eV/atom
# DFT total energy ... -93.0 eV/cell

---

# 3
# Rb2Sn4PdAu3, optimized geometry, DFT PBE-GGA
data_Rb2Sn4PdAu3
_chemical_formula_sum 'Rb2 Sn4 Pd1 Au3'
_cell_length_a 4.930
_cell_length_b 4.930
_cell_length_c 11.173
_cell_angle_alpha 90.00
_cell_angle_beta 90.00
_cell_angle_gamma 90.00
_space_group_name_H-M_alt 'P -4 m 2'
_space_group_IT_number 115
loop_
_space_group_symop_operation_xyz
'x,y,z'
'y,-x,-z'
'-x,-y,z'
'-y,x,-z'
'-x,y,z'
'-y,-x,-z'
'x,-y,z'
'y,x,-z'
loop_
_atom_site_label
_atom_site_fract_x
_atom_site_fract_y
_atom_site_fract_z
Rb1 0.000 0.500 0.244
Sn1 0.000 0.000 0.500
Sn2 0.000 0.500 0.889
Sn3 0.500 0.500 0.500
Pd1 0.500 0.500 0.000
Au1 0.000 0.000 0.000
Au2 0.000 0.500 0.632
# DOS at the Fermi energy ... 0.491 states/eV/atom
# DFT total energy ... -36.0 eV/cell

---

Among the records above, which one has the highest DFT total energy? CdNiP2

---

Among the records above, which one has the lowest DOS at the Fermi energy? CdNiP2

---

Look up the DFT total energy of the first one. -16.8 eV/cell